Entry 1:
Entry from the Alexandria database: a PBEsol-optimized structure of Os2PtAu (SCAN).

Values from the calculation:
Excess energy over the best structure of this formula in the dataset in meV per atom: 0
Formation enthalpy at 0 K in meV/atom: 542
Fermi-level density of states in states/eV/atom: 0.740
Electronic total energy in eV per atom: -70.235
Space-group type: No. 71

Lattice parameters (Å, degrees): 2.721 4.545 10.034 90.00 90.00 90.00
Atoms (fractional coordinates):
1 Os 0.000 0.000 0.224
2 Os 0.000 0.000 0.776
3 Os 0.500 0.500 0.276
4 Os 0.500 0.500 0.724
5 Pt 0.000 0.500 0.500
6 Pt 0.500 0.000 0.000
7 Au 0.000 0.500 0.000
8 Au 0.500 0.000 0.500


Entry 2:
Entry from the Alexandria database: a PBEsol-optimized structure of OsPtAu (SCAN).

Values from the calculation:
Excess energy over the best structure of this formula in the dataset in meV per atom: 151
Formation enthalpy at 0 K in meV/atom: 654
Fermi-level density of states in states/eV/atom: 0.885
Electronic total energy in eV per atom: -69.755
Space-group type: No. 156

Lattice parameters (Å, degrees): 4.483 4.483 2.664 90.00 90.00 120.00
Atoms (fractional coordinates):
1 Os 0.000 0.000 0.000
2 Pt 0.333 0.667 0.548
3 Au 0.667 0.333 0.371


Entry 3:
Entry from the Alexandria database: a PBEsol-optimized structure of Os2PtAu (SCAN).

Values from the calculation:
Excess energy over the best structure of this formula in the dataset in meV per atom: 43
Formation enthalpy at 0 K in meV/atom: 585
Fermi-level density of states in states/eV/atom: 0.861
Electronic total energy in eV per atom: -70.193
Space-group type: No. 65

Lattice parameters (Å, degrees): 5.491 7.915 2.725 90.00 90.00 90.00
Atoms (fractional coordinates):
1 Os 0.250 0.250 0.000
2 Os 0.250 0.750 0.000
3 Os 0.750 0.250 0.000
4 Os 0.750 0.750 0.000
5 Pt 0.000 0.000 0.500
6 Pt 0.500 0.500 0.500
7 Au 0.000 0.500 0.500
8 Au 0.500 0.000 0.500


Entry 4:
Entry from the Alexandria database: a PBEsol-optimized structure of Rb2OsWAu (SCAN).

Values from the calculation:
Formation enthalpy at 0 K in meV/atom: 2422
Fermi-level density of states in states/eV/atom: 0.893
Electronic total energy in eV per atom: -48.018
Space-group type: No. 123

Lattice parameters (Å, degrees): 6.501 6.501 4.932 90.00 90.00 90.00
Atoms (fractional coordinates):
1 Rb 0.000 0.500 0.000
2 Rb 0.500 0.000 0.000
3 Os 0.000 0.000 0.500
4 W 0.500 0.500 0.000
5 Au 0.500 0.500 0.500


Entry 5:
Entry from the Alexandria database: a PBEsol-optimized structure of ReOsAu (SCAN).

Values from the calculation:
Formation enthalpy at 0 K in meV/atom: 345
Fermi-level density of states in states/eV/atom: 0.559
Electronic total energy in eV per atom: -70.367
Space-group type: No. 44

Lattice parameters (Å, degrees): 2.809 3.810 8.400 90.00 90.00 90.00
Atoms (fractional coordinates):
1 Re 0.000 0.000 0.000
2 Re 0.500 0.500 0.500
3 Os 0.000 0.000 0.354
4 Os 0.500 0.500 0.854
5 Au 0.000 0.000 0.677
6 Au 0.500 0.500 0.177


Entry 6:
Entry from the Alexandria database: a PBEsol-optimized structure of ReTeOs2Au (SCAN).

Values from the calculation:
Fermi-level density of states in states/eV/atom: 1.365
Electronic total energy in eV per atom: -62.289
E_form (uncorrected) in meV per atom: 1964
Space-group type: No. 123

Lattice parameters (Å, degrees): 4.692 4.692 4.932 90.00 90.00 90.00
Atoms (fractional coordinates):
1 Re 0.000 0.000 0.000
2 Te 0.500 0.500 0.500
3 Os 0.000 0.500 0.000
4 Os 0.500 0.000 0.000
5 Au 0.000 0.000 0.500


Entry 7:
Entry from the Alexandria database: a PBEsol-optimized structure of Re2OsWAu (SCAN).

Values from the calculation:
Formation enthalpy at 0 K in meV/atom: 2211
Fermi-level density of states in states/eV/atom: 0.730
Electronic total energy in eV per atom: -68.373
Space-group type: No. 123

Lattice parameters (Å, degrees): 4.646 4.646 4.667 90.00 90.00 90.00
Atoms (fractional coordinates):
1 Re 0.000 0.500 0.000
2 Re 0.500 0.000 0.000
3 Os 0.000 0.000 0.000
4 W 0.000 0.000 0.500
5 Au 0.500 0.500 0.500


Entry 8:
Entry from the Alexandria database: a PBEsol-optimized structure of OsRhWAu2 (SCAN).

Values from the calculation:
Formation enthalpy at 0 K in meV/atom: 1934
Fermi-level density of states in states/eV/atom: 0.946
Electronic total energy in eV per atom: -60.797
Space-group type: No. 123

Lattice parameters (Å, degrees): 4.874 4.874 4.572 90.00 90.00 90.00
Atoms (fractional coordinates):
1 Os 0.000 0.000 0.000
2 Rh 0.500 0.500 0.500
3 W 0.000 0.000 0.500
4 Au 0.000 0.500 0.000
5 Au 0.500 0.000 0.000